This record from the Alexandria database describes a relaxed LaIn2HgB crystal. The functional is PBE-GGA.

Properties
ρ	4.88	Mg/m³
E_form	1.022	eV per atom
DOS(E_F)	3.13	states/eV/f.u.

Lattice parameters (Å, degrees): 6.458 6.458 4.733 90.00 90.00 90.00
Atoms (fractional coordinates):
La (0.000, 0.000, 0.000)
In (0.000, 0.500, 0.000)
In (0.500, 0.000, 0.000)
Hg (0.500, 0.500, 0.500)
B (0.000, 0.000, 0.500)